{
  "formula": "K3SiAs2",
  "functional": "GGA-PBE",
  "state": "optimized geometry",
  "lattice": [[7.6641, 0.0000, -3.1818], [-1.0723, 6.0418, -2.5828], [-0.7767, 0.0201, 8.9501]],
  "species": ["K", "K", "K", "K", "K", "K", "Si", "Si", "As", "As", "As", "As"],
  "frac_coords": [[0.3667, 0.6905, 0.3809], [0.6333, 0.3095, 0.6191], [0.9857, 0.8095, 0.6191], [0.0143, 0.1905, 0.3809], [0.5000, 0.7500, 0.0000], [0.5000, 0.2500, 0.0000], [0.0000, 0.2500, 0.0000], [0.0000, 0.7500, 0.0000], [0.2522, 0.0816, 0.1632], [0.7478, 0.9184, 0.8368], [0.0890, 0.4184, 0.8368], [0.9110, 0.5816, 0.1632]],
  "space_group": "Ibam (72)",
  "dft_energy_ev_per_atom": -3.312,
  "raw_formation_energy_mev_per_atom": -309.3
}